Record 1
Computed, not measured: a geometry-optimized Nd2DyMg3Tl2Zn structure at the PBE-GGA level of DFT.

## Properties
Total magnetization (μB/f.u.): 0.01
Calculated total energy (eV per atom): -3.09

The structure in POSCAR format:
```
Nd2DyMg3Tl2Zn
1.0
-1.8601 3.8186 -1.9162
-3.7662 -4.3114 -4.9358
-3.2455 1.7325 6.6030
Dy Mg Nd Tl Zn
1 3 2 2 1
direct
0.0000 0.4082 0.4082
0.5000 0.2356 0.0004
0.5000 0.0004 0.2356
0.5000 0.7666 0.7666
0.0000 0.9981 0.5879
0.0000 0.5879 0.9981
0.5000 0.6611 0.3346
0.5000 0.3346 0.6611
0.0000 0.0074 0.0074
```



Record 2
Computed, not measured: a geometry-optimized Dy2MgNi2 structure at the PBE-GGA level of DFT.

## Properties
Total magnetization (μB/f.u.): 0.00
Calculated total energy (eV per atom): -4.77

The structure in POSCAR format:
```
Dy2MgNi2
1.0
7.3127 0.0000 0.0000
0.0000 7.3127 0.0000
0.0000 0.0000 3.7444
Dy Mg Ni
4 2 4
direct
0.3272 0.1728 0.5000
0.8272 0.3272 0.5000
0.1728 0.6728 0.5000
0.6728 0.8272 0.5000
0.0000 0.0000 0.0000
0.5000 0.5000 0.0000
0.6209 0.1209 0.0000
0.1209 0.3791 0.0000
0.8791 0.6209 0.0000
0.3791 0.8791 0.0000
```